(1)
This record from Alexandria describes a relaxed structure of K2HgTeSe. The functional is PBE.

```
data_K2HgTeSe
_chemical_formula_sum 'K2 Hg1 Te1 Se1'
_cell_length_a 6.316
_cell_length_b 6.316
_cell_length_c 5.205
_cell_angle_alpha 90.00
_cell_angle_beta 90.00
_cell_angle_gamma 90.00
_symmetry_space_group_name_H-M 'P 1'
_symmetry_Int_Tables_number 1
loop_
_symmetry_equiv_pos_as_xyz
'x,y,z'
loop_
_atom_site_label
_atom_site_fract_x
_atom_site_fract_y
_atom_site_fract_z
K1 0.000 0.500 0.000
K2 0.500 0.000 0.000
Hg1 0.000 0.000 0.500
Te1 0.500 0.500 0.500
Se1 0.000 0.000 0.000
```

Fermi-level density of states, states/eV per cell: 6.145
Formation energy without anion corrections, meV per atom: -555
Final energy, eV per atom: -2.379
Volume, A^3/atom: 41.534
ΔE to the lowest computed polymorph, meV/atom: 251

=====

(2)
This record from Alexandria describes a relaxed structure of CrOs2Ru. The functional is PBE.

```
data_CrOs2Ru
_chemical_formula_sum 'Cr3 Os6 Ru3'
_cell_length_a 2.701
_cell_length_b 2.701
_cell_length_c 26.113
_cell_angle_alpha 90.00
_cell_angle_beta 90.00
_cell_angle_gamma 120.00
_symmetry_space_group_name_H-M 'P 1'
_symmetry_Int_Tables_number 1
loop_
_symmetry_equiv_pos_as_xyz
'x,y,z'
loop_
_atom_site_label
_atom_site_fract_x
_atom_site_fract_y
_atom_site_fract_z
Cr1 0.000 0.000 0.000
Cr2 0.333 0.667 0.667
Cr3 0.667 0.333 0.333
Os1 0.000 0.000 0.501
Os2 0.000 0.000 0.748
Os3 0.333 0.667 0.167
Os4 0.333 0.667 0.415
Os5 0.667 0.333 0.081
Os6 0.667 0.333 0.834
Ru1 0.000 0.000 0.253
Ru2 0.333 0.667 0.920
Ru3 0.667 0.333 0.587
```

Formation enthalpy at 0 K, meV per atom: 157.9
Fermi-level density of states, states/eV per cell: 12.733
Final energy, eV per atom: -10.182
Volume, A^3/atom: 13.750
ΔE to the lowest computed polymorph, meV/atom: 92

=====

(3)
This record from Alexandria describes a relaxed structure of LaErAlZn. The functional is PBE.

```
data_LaErAlZn
_chemical_formula_sum 'La4 Er4 Al4 Zn4'
_cell_length_a 7.371
_cell_length_b 7.371
_cell_length_c 7.371
_cell_angle_alpha 90.00
_cell_angle_beta 90.00
_cell_angle_gamma 90.00
_symmetry_space_group_name_H-M 'P 1'
_symmetry_Int_Tables_number 1
loop_
_symmetry_equiv_pos_as_xyz
'x,y,z'
loop_
_atom_site_label
_atom_site_fract_x
_atom_site_fract_y
_atom_site_fract_z
La1 0.000 0.000 0.000
La2 0.000 0.500 0.500
La3 0.500 0.000 0.500
La4 0.500 0.500 0.000
Er1 0.000 0.000 0.500
Er2 0.000 0.500 0.000
Er3 0.500 0.000 0.000
Er4 0.500 0.500 0.500
Al1 0.250 0.250 0.250
Al2 0.250 0.750 0.750
Al3 0.750 0.250 0.750
Al4 0.750 0.750 0.250
Zn1 0.250 0.250 0.750
Zn2 0.250 0.750 0.250
Zn3 0.750 0.250 0.250
Zn4 0.750 0.750 0.750
```

Formation enthalpy at 0 K, meV per atom: -338.9
Fermi-level density of states, states/eV per cell: 16.186
Final energy, eV per atom: -3.966
Volume, A^3/atom: 25.029
ΔE to the lowest computed polymorph, meV/atom: 19

=====

(4)
This record from Alexandria describes a relaxed structure of Ho2Pd5Au. The functional is PBE.

```
data_Ho2Pd5Au
_chemical_formula_sum 'Ho4 Pd10 Au2'
_cell_length_a 5.812
_cell_length_b 11.616
_cell_length_c 4.185
_cell_angle_alpha 90.00
_cell_angle_beta 90.00
_cell_angle_gamma 90.00
_symmetry_space_group_name_H-M 'P 1'
_symmetry_Int_Tables_number 1
loop_
_symmetry_equiv_pos_as_xyz
'x,y,z'
loop_
_atom_site_label
_atom_site_fract_x
_atom_site_fract_y
_atom_site_fract_z
Ho1 0.234 0.130 0.000
Ho2 0.266 0.630 0.000
Ho3 0.734 0.370 0.000
Ho4 0.766 0.870 0.000
Pd1 0.000 0.000 0.500
Pd2 0.014 0.750 0.500
Pd3 0.240 0.377 0.000
Pd4 0.260 0.877 0.000
Pd5 0.486 0.250 0.500
Pd6 0.500 0.500 0.500
Pd7 0.514 0.750 0.500
Pd8 0.740 0.123 0.000
Pd9 0.760 0.623 0.000
Pd10 0.986 0.250 0.500
Au1 0.000 0.500 0.500
Au2 0.500 0.000 0.500
```

Formation enthalpy at 0 K, meV per atom: -919.5
Fermi-level density of states, states/eV per cell: 2.627
Final energy, eV per atom: -5.719
Volume, A^3/atom: 17.659
ΔE to the lowest computed polymorph, meV/atom: 0

=====

(5)
This record from Alexandria describes a relaxed structure of CaCd12Pd6. The functional is PBE.

```
data_CaCd12Pd6
_chemical_formula_sum 'Ca1 Cd12 Pd6'
_cell_length_a 7.841
_cell_length_b 7.841
_cell_length_c 7.841
_cell_angle_alpha 105.98
_cell_angle_beta 105.98
_cell_angle_gamma 105.98
_symmetry_space_group_name_H-M 'P 1'
_symmetry_Int_Tables_number 1
loop_
_symmetry_equiv_pos_as_xyz
'x,y,z'
loop_
_atom_site_label
_atom_site_fract_x
_atom_site_fract_y
_atom_site_fract_z
Ca1 0.000 0.000 0.000
Cd1 0.116 0.500 0.884
Cd2 0.116 0.884 0.500
Cd3 0.138 0.391 0.391
Cd4 0.391 0.138 0.391
Cd5 0.391 0.391 0.138
Cd6 0.500 0.116 0.884
Cd7 0.500 0.884 0.116
Cd8 0.609 0.609 0.862
Cd9 0.609 0.862 0.609
Cd10 0.862 0.609 0.609
Cd11 0.884 0.116 0.500
Cd12 0.884 0.500 0.116
Pd1 0.282 0.282 0.698
Pd2 0.282 0.698 0.282
Pd3 0.302 0.718 0.718
Pd4 0.698 0.282 0.282
Pd5 0.718 0.302 0.718
Pd6 0.718 0.718 0.302
```

Formation enthalpy at 0 K, meV per atom: -226.1
Fermi-level density of states, states/eV per cell: 8.755
Final energy, eV per atom: -2.549
Volume, A^3/atom: 21.694

=====

(6)
This record from Alexandria describes a relaxed structure of LaAlRe2. The functional is PBE.

```
data_LaAlRe2
_chemical_formula_sum 'La2 Al2 Re4'
_cell_length_a 3.090
_cell_length_b 4.930
_cell_length_c 10.162
_cell_angle_alpha 90.00
_cell_angle_beta 90.00
_cell_angle_gamma 90.00
_symmetry_space_group_name_H-M 'P 1'
_symmetry_Int_Tables_number 1
loop_
_symmetry_equiv_pos_as_xyz
'x,y,z'
loop_
_atom_site_label
_atom_site_fract_x
_atom_site_fract_y
_atom_site_fract_z
La1 0.000 0.000 0.000
La2 0.500 0.500 0.500
Al1 0.000 0.500 0.206
Al2 0.500 0.000 0.706
Re1 0.000 0.000 0.474
Re2 0.000 0.500 0.773
Re3 0.500 0.000 0.273
Re4 0.500 0.500 0.974
```

Formation enthalpy at 0 K, meV per atom: 348.9
Fermi-level density of states, states/eV per cell: 4.217
Final energy, eV per atom: -8.043
Volume, A^3/atom: 19.355

=====

(7)
This record from Alexandria describes a relaxed structure of ScSnHgBr6. The functional is PBE.

```
data_ScSnHgBr6
_chemical_formula_sum 'Sc1 Sn1 Hg1 Br6'
_cell_length_a 7.028
_cell_length_b 7.028
_cell_length_c 9.126
_cell_angle_alpha 90.00
_cell_angle_beta 90.00
_cell_angle_gamma 120.00
_symmetry_space_group_name_H-M 'P 1'
_symmetry_Int_Tables_number 1
loop_
_symmetry_equiv_pos_as_xyz
'x,y,z'
loop_
_atom_site_label
_atom_site_fract_x
_atom_site_fract_y
_atom_site_fract_z
Sc1 0.000 0.000 0.000
Sn1 0.667 0.333 0.000
Hg1 0.333 0.667 0.500
Br1 0.318 0.022 0.173
Br2 0.318 0.296 0.827
Br3 0.704 0.022 0.827
Br4 0.704 0.682 0.173
Br5 0.978 0.296 0.173
Br6 0.978 0.682 0.827
```

Fermi-level density of states, states/eV per cell: 6.582
Formation energy without anion corrections, meV per atom: -1014
Final energy, eV per atom: -3.311
Volume, A^3/atom: 43.379

=====

(8)
This record from Alexandria describes a relaxed structure of La2CrH. The functional is PBE.

```
data_La2CrH
_chemical_formula_sum 'La8 Cr4 H4'
_cell_length_a 7.248
_cell_length_b 7.248
_cell_length_c 7.345
_cell_angle_alpha 90.00
_cell_angle_beta 90.00
_cell_angle_gamma 90.00
_symmetry_space_group_name_H-M 'P 1'
_symmetry_Int_Tables_number 1
loop_
_symmetry_equiv_pos_as_xyz
'x,y,z'
loop_
_atom_site_label
_atom_site_fract_x
_atom_site_fract_y
_atom_site_fract_z
La1 0.165 0.750 0.125
La2 0.250 0.165 0.875
La3 0.250 0.335 0.375
La4 0.335 0.750 0.625
La5 0.665 0.250 0.625
La6 0.750 0.665 0.375
La7 0.750 0.835 0.875
La8 0.835 0.250 0.125
Cr1 0.000 0.000 0.500
Cr2 0.000 0.500 0.750
Cr3 0.500 0.000 0.250
Cr4 0.500 0.500 0.000
H1 0.000 0.000 0.000
H2 0.000 0.500 0.250
H3 0.500 0.000 0.750
H4 0.500 0.500 0.500
```

Fermi-level density of states, states/eV per cell: 18.450
Final energy, eV per atom: -5.509
Volume, A^3/atom: 24.115
ΔE to the lowest computed polymorph, meV/atom: 0